1.
Compound: CdOsCl2
Source: Alexandria
Functional: PBE
Structure: optimized geometry

Properties
ΔE to the lowest computed polymorph	0.97	eV per formula unit
calculated volume	21.18	Å³ per atom
total moment	0.000	μB/f.u.
calculated density	7.3	Mg/m³
raw formation energy	0.289	eV/atom

a b c (Å): 3.176 3.176 10.171
angles (deg): 90.00 90.00 124.35
Sites, in units of the cell vectors:
1 Cd 0.000 0.000 0.000
2 Os 0.000 0.000 0.500
3 Cl 0.500 0.500 0.317
4 Cl 0.500 0.500 0.683

2.
Compound: TbDy3Pu2Se6
Source: Alexandria
Functional: PBE
Structure: optimized geometry

Properties
calculated volume	24.37	Å³ per atom
total moment	11.779	μB/f.u.
calculated density	9.1	Mg/m³
raw formation energy	-1.706	eV/atom

a b c (Å): 7.082 7.082 7.139
angles (deg): 99.52 99.52 120.04
Sites, in units of the cell vectors:
1 Tb 0.000 0.000 0.000
2 Dy 0.167 0.833 0.500
3 Dy 0.500 0.500 0.500
4 Dy 0.833 0.167 0.500
5 Pu 0.333 0.667 0.000
6 Pu 0.667 0.333 0.000
7 Se 0.085 0.417 0.254
8 Se 0.247 0.247 0.745
9 Se 0.417 0.085 0.254
10 Se 0.583 0.915 0.746
11 Se 0.753 0.753 0.255
12 Se 0.915 0.583 0.746

3.
Compound: KRhC2
Source: Alexandria
Functional: PBE
Structure: optimized geometry

Properties
ΔH_f (0 K)	2.33	eV per atom
calculated volume	12.40	Å³ per atom
total moment	0.000	μB/f.u.
calculated density	5.6	Mg/m³

a b c (Å): 4.124 4.124 4.124
angles (deg): 60.00 60.00 60.00
Sites, in units of the cell vectors:
1 K 0.000 0.000 0.000
2 Rh 0.500 0.500 0.500
3 C 0.250 0.250 0.250
4 C 0.750 0.750 0.750

4.
Compound: SmP2S6
Source: Alexandria
Functional: PBE
Structure: optimized geometry

Properties
calculated volume	29.77	Å³ per atom
total moment	0.886	μB/f.u.
calculated density	2.5	Mg/m³
raw formation energy	-0.605	eV/atom

a b c (Å): 8.224 8.224 8.224
angles (deg): 46.57 46.57 46.57
Sites, in units of the cell vectors:
1 Sm 0.000 0.000 0.000
2 P 0.281 0.281 0.281
3 P 0.385 0.385 0.385
4 S 0.122 0.398 0.717
5 S 0.234 0.966 0.560
6 S 0.398 0.717 0.122
7 S 0.560 0.234 0.966
8 S 0.717 0.122 0.398
9 S 0.966 0.560 0.234

5.
Compound: CaAcYTm
Source: Alexandria
Functional: PBE
Structure: optimized geometry

Properties
ΔH_f (0 K)	0.12	eV per atom
calculated volume	36.56	Å³ per atom
total moment	0.000	μB/f.u.
calculated density	6.0	Mg/m³

a b c (Å): 5.914 5.914 5.914
angles (deg): 60.00 60.00 60.00
Sites, in units of the cell vectors:
1 Ca 0.000 0.000 0.000
2 Ac 0.250 0.250 0.250
3 Y 0.750 0.750 0.750
4 Tm 0.500 0.500 0.500

6.
Compound: ErAl3Ag3
Source: Alexandria
Functional: PBE
Structure: optimized geometry

Properties
ΔH_f (0 K)	0.79	eV per atom
ΔE to the lowest computed polymorph	6.20	eV per formula unit
calculated volume	33.53	Å³ per atom
total moment	0.000	μB/f.u.
calculated density	4.0	Mg/m³

a b c (Å): 8.724 8.724 8.724
angles (deg): 60.00 60.00 60.00
Sites, in units of the cell vectors:
1 Er 0.250 0.250 0.250
2 Er 0.750 0.750 0.750
3 Al 0.151 0.151 0.849
4 Al 0.151 0.849 0.151
5 Al 0.151 0.849 0.849
6 Al 0.849 0.151 0.151
7 Al 0.849 0.151 0.849
8 Al 0.849 0.849 0.151
9 Ag 0.342 0.342 0.658
10 Ag 0.342 0.658 0.342
11 Ag 0.342 0.658 0.658
12 Ag 0.658 0.342 0.342
13 Ag 0.658 0.342 0.658
14 Ag 0.658 0.658 0.342

7.
Compound: Tb2Mg2Zn4Ga
Source: Alexandria
Functional: PBE
Structure: optimized geometry

Properties
ΔH_f (0 K)	-0.03	eV per atom
calculated volume	22.48	Å³ per atom
total moment	0.000	μB/f.u.
calculated density	5.7	Mg/m³

a b c (Å): 6.606 6.606 6.606
angles (deg): 120.50 120.50 89.14
Sites, in units of the cell vectors:
1 Tb 0.205 0.205 0.000
2 Tb 0.795 0.795 0.000
3 Mg 0.250 0.750 0.500
4 Mg 0.750 0.250 0.500
5 Zn 0.233 0.233 0.466
6 Zn 0.233 0.767 0.000
7 Zn 0.767 0.233 0.000
8 Zn 0.767 0.767 0.534
9 Ga 0.500 0.500 0.000

8.
Compound: Tm2ZnAu4
Source: Alexandria
Functional: PBE
Structure: optimized geometry

Properties
ΔH_f (0 K)	-0.68	eV per atom
calculated volume	20.57	Å³ per atom
total moment	0.000	μB/f.u.
calculated density	13.7	Mg/m³

a b c (Å): 4.968 4.968 7.816
angles (deg): 116.96 116.96 61.49
Sites, in units of the cell vectors:
1 Tm 0.061 0.061 0.282
2 Tm 0.939 0.939 0.718
3 Zn 0.500 0.500 0.500
4 Au 0.281 0.281 0.723
5 Au 0.314 0.314 0.113
6 Au 0.686 0.686 0.887
7 Au 0.719 0.719 0.277

9.
Compound: Sn2SbI
Source: Alexandria
Functional: PBE
Structure: optimized geometry

Properties
ΔE to the lowest computed polymorph	0.00	eV per formula unit
calculated volume	35.98	Å³ per atom
total moment	0.000	μB/f.u.
calculated density	5.6	Mg/m³
raw formation energy	-0.122	eV/atom

a b c (Å): 8.664 8.664 8.664
angles (deg): 29.99 29.99 29.99
Sites, in units of the cell vectors:
1 Sn 0.000 0.000 0.000
2 Sn 0.198 0.198 0.198
3 Sb 0.595 0.595 0.595
4 I 0.413 0.413 0.413

10.
Compound: Mo2OsCl2
Source: Alexandria
Functional: PBE
Structure: optimized geometry

Properties
calculated volume	16.48	Å³ per atom
total moment	0.236	μB/f.u.
calculated density	9.1	Mg/m³
raw formation energy	1.187	eV/atom

a b c (Å): 5.421 5.421 5.421
angles (deg): 133.51 133.51 67.86
Sites, in units of the cell vectors:
1 Mo 0.250 0.750 0.500
2 Mo 0.750 0.250 0.500
3 Os 0.000 0.000 0.000
4 Cl 0.361 0.361 0.000
5 Cl 0.639 0.639 0.000

11.
Compound: LaTbZn2Ge2
Source: Alexandria
Functional: PBE
Structure: optimized geometry

Properties
ΔH_f (0 K)	-0.67	eV per atom
calculated volume	21.92	Å³ per atom
total moment	0.000	μB/f.u.
calculated density	7.2	Mg/m³

a b c (Å): 4.240 4.240 8.449
angles (deg): 90.00 90.00 120.00
Sites, in units of the cell vectors:
1 La 0.000 0.000 0.000
2 Tb 0.000 0.000 0.500
3 Zn 0.333 0.667 0.739
4 Zn 0.667 0.333 0.261
5 Ge 0.333 0.667 0.262
6 Ge 0.667 0.333 0.738

12.
Compound: Ce3GeP2Ir9
Source: Alexandria
Functional: PBE
Structure: optimized geometry

Properties
ΔH_f (0 K)	-0.47	eV per atom
calculated volume	19.01	Å³ per atom
total moment	0.019	μB/f.u.
calculated density	13.3	Mg/m³

a b c (Å): 5.616 5.616 10.441
angles (deg): 90.00 90.00 120.00
Sites, in units of the cell vectors:
1 Ce 0.000 0.000 0.000
2 Ce 0.333 0.667 0.591
3 Ce 0.667 0.333 0.409
4 Ge 0.000 0.000 0.500
5 P 0.333 0.667 0.161
6 P 0.667 0.333 0.839
7 Ir 0.000 0.500 0.000
8 Ir 0.163 0.326 0.313
9 Ir 0.163 0.837 0.313
10 Ir 0.326 0.163 0.687
11 Ir 0.500 0.000 0.000
12 Ir 0.500 0.500 0.000
13 Ir 0.674 0.837 0.313
14 Ir 0.837 0.163 0.687
15 Ir 0.837 0.674 0.687

13.
Compound: Ce6SbTe2As3
Source: Alexandria
Functional: PBE
Structure: optimized geometry

Properties
calculated volume	29.29	Å³ per atom
total moment	5.620	μB/f.u.
calculated density	6.8	Mg/m³
raw formation energy	-1.358	eV/atom

a b c (Å): 9.790 9.790 8.778
angles (deg): 104.06 104.06 25.55
Sites, in units of the cell vectors:
1 Ce 0.005 0.005 0.240
2 Ce 0.329 0.329 0.431
3 Ce 0.339 0.339 0.903
4 Ce 0.661 0.661 0.097
5 Ce 0.671 0.671 0.569
6 Ce 0.995 0.995 0.760
7 Sb 0.500 0.500 0.500
8 Te 0.167 0.167 0.834
9 Te 0.833 0.833 0.166
10 As 0.167 0.167 0.333
11 As 0.500 0.500 0.000
12 As 0.833 0.833 0.667

14.
Compound: ScCd2Br
Source: Alexandria
Functional: PBE
Structure: optimized geometry

Properties
ΔE to the lowest computed polymorph	0.66	eV per formula unit
calculated volume	24.35	Å³ per atom
total moment	0.001	μB/f.u.
calculated density	6.0	Mg/m³
raw formation energy	-0.281	eV/atom

a b c (Å): 5.710 5.710 3.448
angles (deg): 90.00 90.00 119.94
Sites, in units of the cell vectors:
1 Sc 0.000 0.000 0.000
2 Cd 0.000 0.500 0.500
3 Cd 0.500 0.000 0.500
4 Br 0.500 0.500 0.000

15.
Compound: Mn2AgP
Source: Alexandria
Functional: PBE
Structure: optimized geometry

Properties
ΔH_f (0 K)	0.06	eV per atom
calculated volume	14.52	Å³ per atom
total moment	4.036	μB/f.u.
calculated density	7.1	Mg/m³

a b c (Å): 2.873 7.136 7.136
angles (deg): 23.40 90.00 90.00
Sites, in units of the cell vectors:
1 Mn 0.000 0.000 0.000
2 Mn 0.500 0.380 0.380
3 Ag 0.500 0.643 0.643
4 P 0.000 0.807 0.807

16.
Compound: ScZn3Co
Source: Alexandria
Functional: PBE
Structure: optimized geometry

Properties
ΔH_f (0 K)	0.10	eV per atom
ΔE to the lowest computed polymorph	1.68	eV per formula unit
calculated volume	18.01	Å³ per atom
total moment	0.480	μB/f.u.
calculated density	5.5	Mg/m³

a b c (Å): 4.482 4.482 4.482
angles (deg): 90.00 90.00 90.00
Sites, in units of the cell vectors:
1 Sc 0.000 0.000 0.000
2 Zn 0.000 0.500 0.500
3 Zn 0.500 0.000 0.500
4 Zn 0.500 0.500 0.000
5 Co 0.500 0.500 0.500

17.
Compound: Pm5InRh
Source: Alexandria
Functional: PBE
Structure: optimized geometry

Properties
ΔH_f (0 K)	-0.26	eV per atom
calculated volume	29.94	Å³ per atom
total moment	0.000	μB/f.u.
calculated density	7.5	Mg/m³

a b c (Å): 6.104 6.104 11.909
angles (deg): 102.10 102.10 79.04
Sites, in units of the cell vectors:
1 Pm 0.003 0.997 0.750
2 Pm 0.072 0.425 0.127
3 Pm 0.216 0.543 0.442
4 Pm 0.425 0.072 0.627
5 Pm 0.457 0.784 0.058
6 Pm 0.543 0.216 0.942
7 Pm 0.575 0.928 0.373
8 Pm 0.784 0.457 0.558
9 Pm 0.928 0.575 0.873
10 Pm 0.997 0.003 0.250
11 In 0.409 0.591 0.750
12 In 0.591 0.409 0.250
13 Rh 0.000 0.000 0.000
14 Rh 0.000 0.000 0.500

18.
Compound: Pm3C2F
Source: Alexandria
Functional: PBE
Structure: optimized geometry

Properties
calculated volume	21.42	Å³ per atom
total moment	0.000	μB/f.u.
calculated density	6.2	Mg/m³
raw formation energy	-0.680	eV/atom

a b c (Å): 6.592 6.592 10.845
angles (deg): 90.00 90.00 146.94
Sites, in units of the cell vectors:
1 Pm 0.087 0.913 0.750
2 Pm 0.384 0.616 0.576
3 Pm 0.384 0.616 0.924
4 Pm 0.616 0.384 0.076
5 Pm 0.616 0.384 0.424
6 Pm 0.913 0.087 0.250
7 C 0.000 0.000 0.000
8 C 0.000 0.000 0.500
9 C 0.476 0.524 0.750
10 C 0.524 0.476 0.250
11 F 0.266 0.734 0.250
12 F 0.734 0.266 0.750

19.
Compound: Nd2Ga5Ni4
Source: Alexandria
Functional: PBE
Structure: optimized geometry

Properties
ΔH_f (0 K)	-0.53	eV per atom
calculated volume	17.08	Å³ per atom
total moment	0.000	μB/f.u.
calculated density	7.7	Mg/m³

a b c (Å): 8.919 8.096 5.319
angles (deg): 80.44 63.53 36.02
Sites, in units of the cell vectors:
1 Nd 0.134 0.134 0.866
2 Nd 0.866 0.866 0.134
3 Ga 0.000 0.000 0.500
4 Ga 0.250 0.250 0.250
5 Ga 0.500 0.500 0.000
6 Ga 0.500 0.500 0.500
7 Ga 0.750 0.750 0.750
8 Ni 0.214 0.525 0.475
9 Ni 0.475 0.786 0.214
10 Ni 0.525 0.214 0.786
11 Ni 0.786 0.475 0.525

20.
Compound: Cr2SiAu
Source: Alexandria
Functional: PBE
Structure: optimized geometry

Properties
calculated volume	14.10	Å³ per atom
total moment	0.930	μB/f.u.
calculated density	9.7	Mg/m³
raw formation energy	0.088	eV/atom

a b c (Å): 4.655 4.655 4.655
angles (deg): 130.88 130.88 72.01
Sites, in units of the cell vectors:
1 Cr 0.000 0.000 0.000
2 Cr 0.750 0.250 0.500
3 Si 0.250 0.750 0.500
4 Au 0.500 0.500 0.000

21.
Compound: LiIn2Ag2
Source: Alexandria
Functional: PBE
Structure: optimized geometry

Properties
ΔH_f (0 K)	0.00	eV per atom
ΔE to the lowest computed polymorph	0.74	eV per formula unit
calculated volume	22.29	Å³ per atom
total moment	0.000	μB/f.u.
calculated density	6.7	Mg/m³

a b c (Å): 7.612 7.612 7.612
angles (deg): 149.78 149.78 43.27
Sites, in units of the cell vectors:
1 Li 0.000 0.000 0.000
2 In 0.399 0.399 0.000
3 In 0.601 0.601 0.000
4 Ag 0.250 0.750 0.500
5 Ag 0.750 0.250 0.500

22.
Compound: TiNbAl2
Source: Alexandria
Functional: PBE
Structure: optimized geometry

Properties
ΔH_f (0 K)	-0.34	eV per atom
ΔE to the lowest computed polymorph	0.18	eV per formula unit
calculated volume	16.61	Å³ per atom
total moment	0.000	μB/f.u.
calculated density	4.9	Mg/m³

a b c (Å): 5.193 5.193 5.193
angles (deg): 136.11 136.11 63.81
Sites, in units of the cell vectors:
1 Ti 0.000 0.000 0.000
2 Nb 0.750 0.250 0.500
3 Al 0.250 0.750 0.500
4 Al 0.500 0.500 0.000

23.
Compound: AsIr2Se
Source: Alexandria
Functional: PBE
Structure: optimized geometry

Properties
ΔE to the lowest computed polymorph	0.84	eV per formula unit
calculated volume	16.77	Å³ per atom
total moment	0.000	μB/f.u.
calculated density	13.3	Mg/m³
raw formation energy	0.247	eV/atom

a b c (Å): 3.966 3.966 6.167
angles (deg): 100.24 100.24 44.80
Sites, in units of the cell vectors:
1 As 0.000 0.000 0.000
2 Ir 0.256 0.256 0.789
3 Ir 0.744 0.744 0.211
4 Se 0.500 0.500 0.500

24.
Compound: LiReSe2
Source: Alexandria
Functional: PBE
Structure: optimized geometry

Properties
ΔE to the lowest computed polymorph	0.23	eV per formula unit
calculated volume	18.01	Å³ per atom
total moment	0.000	μB/f.u.
calculated density	8.1	Mg/m³
raw formation energy	-0.184	eV/atom

a b c (Å): 7.419 7.419 7.419
angles (deg): 26.57 26.57 26.57
Sites, in units of the cell vectors:
1 Li 0.000 0.000 0.000
2 Re 0.500 0.500 0.500
3 Se 0.244 0.244 0.244
4 Se 0.756 0.756 0.756

25.
Compound: Cr2Ni2Rh3
Source: Alexandria
Functional: PBE
Structure: optimized geometry

Properties
ΔH_f (0 K)	0.12	eV per atom
calculated volume	13.03	Å³ per atom
total moment	0.016	μB/f.u.
calculated density	9.7	Mg/m³

a b c (Å): 5.986 5.986 6.657
angles (deg): 116.55 116.55 25.48
Sites, in units of the cell vectors:
1 Cr 0.202 0.202 0.256
2 Cr 0.798 0.798 0.744
3 Ni 0.148 0.148 0.855
4 Ni 0.852 0.852 0.145
5 Rh 0.406 0.406 0.550
6 Rh 0.500 0.500 0.000
7 Rh 0.594 0.594 0.450